This record from Alexandria via LeMat-Bulk describes a geometry-optimized HfMg2F8 structure. The functional is PBE-GGA.

abc: 4.1355 5.5258 5.5258
angles: 113.46 96.61 96.61
Closest atoms and distances in Å follow each position.
Sites, in units of the cell vectors:
Hf 0.5000 0.0000 0.0000  4 F 2.04-2.06
Mg 0.0000 0.3152 0.6848  8 F 2.04-2.24
F 0.6807 0.3438 0.3438  1 Hf 2.06, 2 Mg 2.24
F 0.5000 0.2206 0.7794  1 Hf 2.04, 2 Mg 2.24
F 0.1058 0.0673 0.3257  2 Mg 2.04-2.08
F 0.8942 0.6743 0.9327  2 Mg 2.04-2.08
Mg 0.0000 0.6848 0.3152  8 F 2.04-2.24
F 0.1058 0.3257 0.0673  2 Mg 2.04-2.08
F 0.8942 0.9327 0.6743  2 Mg 2.04-2.08
F 0.5000 0.7794 0.2206  1 Hf 2.04, 2 Mg 2.24
F 0.3193 0.6562 0.6562  1 Hf 2.06, 2 Mg 2.24

Total moment (μB per atom): 0.000
Symmetry: No. 12
Excess energy over the best structure of this formula in the dataset (eV/f.u.): 2.345
Raw formation energy (eV/f.u.): -36.7
Crystal system: monoclinic

=====

This record from Alexandria via LeMat-Bulk describes a geometry-optimized Rb2SrMgI6 structure. The functional is PBE-GGA.

abc: 8.6741 8.6740 8.5720
angles: 59.60 59.60 59.99
Closest atoms and distances in Å follow each position.
Sites, in units of the cell vectors:
I 0.6315 0.0902 0.7986  1 Mg 2.97, 1 Sr 3.27
Rb 0.0558 0.0558 0.8325  3 I 3.69
I 0.0062 0.5556 0.2804  1 Mg 2.95, 1 Sr 3.29
I 0.0904 0.4795 0.7985  1 Mg 2.97, 1 Sr 3.27
Mg 0.3180 0.3180 0.0461  6 I 2.95-2.97
Rb 0.5490 0.5490 0.3529  6 I 3.72-3.93
I 0.5554 0.1579 0.2806  1 Mg 2.95, 1 Sr 3.29
I 0.4797 0.6315 0.7983  1 Mg 2.97, 1 Sr 3.27
Sr 0.8178 0.8179 0.5464  6 I 3.27-3.29
I 0.1577 0.0062 0.2808  1 Mg 2.95, 1 Sr 3.29

Total moment (μB per atom): 0.000
Symmetry: No. 146
Raw formation energy (eV/f.u.): -13.9
Crystal system: trigonal

=====

This record from Alexandria via LeMat-Bulk describes a geometry-optimized ZrRe5 structure. The functional is PBE-GGA.

abc: 5.1614 5.1614 4.5132
angles: 90.00 90.00 120.00
Closest atoms and distances in Å follow each position.
Sites, in units of the cell vectors:
Re 0.3333 0.6667 0.0000  9 Re 2.70-2.98, 3 Zr 2.98
Re 0.5000 0.0000 0.5000  8 Re 2.58-2.70
Re 0.0000 0.5000 0.5000  8 Re 2.58-2.70
Re 0.6667 0.3333 0.0000  9 Re 2.70-2.98, 3 Zr 2.98
Zr 0.0000 0.0000 0.0000  6 Re 2.98
Re 0.5000 0.5000 0.5000  8 Re 2.58-2.70

Total moment (μB per atom): 0.000
Symmetry: No. 191
Excess energy over the best structure of this formula in the dataset (eV/f.u.): 0.473
Energy of formation from the pure elements (eV per formula unit): 0.8
Crystal system: hexagonal